Record 1
DFT (PBE-GGA) results for a relaxed structure of TcBrO3.

The formation energy without anion corrections is -1042 meV/atom. Its crystal system is monoclinic. The calculation puts the total moment at 0.000 μB per formula unit.

It has space group P2_1/m (No. 11), with a = 5.466 Å, b = 7.757 Å, c = 6.381 Å, α = 90.00°, β = 97.05° and γ = 90.00°. The inequivalent atoms are Tc at (0.142, 0.250, 0.295), Br at (0.340, 0.250, 0.647), O at (0.170, 0.750, 0.698) and O at (0.224, 0.069, 0.167).



Record 2
DFT (PBE-GGA) results for a relaxed structure of Cd2HgPb8.

The calculation puts the energy above the most stable polymorph in this dataset at 0.40 eV/f.u. Its crystal system is monoclinic. The formation energy comes out at 0.06 eV per atom. The calculation puts the total moment at 0.000 μB per formula unit.

It has space group C2/m (No. 12), with a = 18.963 Å, b = 4.961 Å, c = 7.461 Å, α = 90.00°, β = 107.09° and γ = 90.00°. The inequivalent atoms are Cd at (0.189, 0.000, 0.225), Hg at (0.000, 0.500, 0.500), Pb at (0.024, 0.000, 0.240), Pb at (0.100, 0.500, 0.972), Pb at (0.157, 0.500, 0.463) and Pb at (0.203, 0.000, 0.809).